1.
DFT (PBE-GGA) results for Nb3Ir2Rh2 after structural relaxation.

Cell and atoms, written as POSCAR:
```
Nb3Ir2Rh2
1.0
-0.997 2.820 2.598
-1.658 -1.877 1.401
7.264 -1.150 7.058
Ir Rh Nb
2 2 3
Cartesian
1.883 -0.588 4.382
2.725 0.380 6.675
-0.241 0.113 2.806
4.850 -0.320 8.251
4.923 -0.378 5.321
0.000 0.000 0.000
1.344 2.048 4.335
```

Output
Theoretical density   12.69 g/cm3
Spin magnetization   0.0 μB per cell
DFT formation energy   -0.343 eV/atom



2.
DFT (PBE-GGA) results for TaBe2I8 after structural relaxation.

Cell and atoms, written as POSCAR:
```
TaBe2I8
1.0
-0.043 6.536 1.094
4.151 -0.946 7.467
8.457 0.570 -1.427
I Be Ta
8 2 1
Cartesian
2.095 4.857 1.842
10.471 1.303 5.291
4.224 1.727 2.339
8.342 4.433 4.794
6.023 0.923 6.547
8.685 1.860 1.048
3.880 4.300 6.085
6.542 5.238 0.586
10.370 3.782 5.666
2.195 2.378 1.468
0.000 0.000 0.000
```

Output
Theoretical density   4.36 g/cm3
Spin magnetization   1.0 μB per cell
Formation energy (no corrections)   -0.41 eV/atom



> The lowest theoretical density belongs to which entry?

TaBe2I8



> Among the records above, which one has the lowest theoretical density?

TaBe2I8



> theoretical density of number 1 (Nb3Ir2Rh2)?

12.69 g/cm3